--- 1 ---
# Hf2Zn2Pb

A relaxed structure of Hf2Zn2Pb (PBE, the Alexandria database).

Its crystal system is tetragonal. Its density is 10.970 g/cm3. For the volume, the calculation gives 21.0 Å³/atom.

The structure belongs to space group P4/mbm (No. 127); the cell edges are 7.9448, 7.9448 and 3.3334 Å and the angles 90.00°, 90.00° and 90.00°. The distinct sites, in fractional coordinates, are Hf at (0.1357, 0.3643, 0.0000), Zn at (0.1635, 0.6635, 0.5000) and Pb at (0.0000, 0.0000, 0.0000).


--- 2 ---
# Hf2Zn2Pb

A relaxed structure of Hf2Zn2Pb (PBE, the Alexandria database).

Its crystal system is tetragonal. Its density is 11.537 g/cm3. For the volume, the calculation gives 20.0 Å³/atom.

The structure belongs to space group P4/mbm (No. 127); the cell edges are 7.7387, 7.7387 and 3.3407 Å and the angles 90.00°, 90.00° and 90.00°. The distinct sites, in fractional coordinates, are Hf at (0.1779, 0.3221, 0.0000), Zn at (0.1163, 0.6163, 0.5000) and Pb at (0.0000, 0.0000, 0.5000).


Least stable: 1